# 1
Here is a relaxed ZrCdAg2 crystal from Alexandria via LeMat-Bulk. Energies are from PBE.

Lattice parameters (Å, degrees): 3.062 3.826 6.772 90.00 90.00 90.00
Fractional coordinates of all 4 atoms:
Zr 0.500 0.500 0.763
Cd 0.000 0.000 0.482
Ag 0.500 0.500 0.243
Ag 0.000 0.000 0.012

Total DFT energy (no corrections) in eV/atom: -3.809
Magnetic moment in Bohr magnetons per cell: 0.00

# 2
Here is a relaxed FeMo5Rh6 crystal from Alexandria via LeMat-Bulk. Energies are from PBE.

Lattice parameters (Å, degrees): 3.876 7.253 7.253 106.57 105.49 105.49
Each line ends with the local moment (μB).
Fractional coordinates of all 12 atoms:
Mo 0.000 0.666 0.334  0.01
Mo 0.000 0.334 0.666  0.01
Mo 0.500 0.166 0.834  -0.19
Mo 0.500 0.500 0.500  0.02
Mo 0.500 0.834 0.166  -0.19
Rh 0.248 0.082 0.414  0.01
Rh 0.745 0.245 0.245  0.04
Rh 0.752 0.586 0.918  0.01
Rh 0.255 0.755 0.755  0.04
Rh 0.248 0.414 0.082  0.01
Rh 0.752 0.918 0.586  0.01
Fe 0.000 0.000 0.000  2.50

Total DFT energy (no corrections) in eV/atom: -9.047
Magnetic moment in Bohr magnetons per cell: 2.19

# 3
Here is a relaxed DyTm5In2Pb crystal from Alexandria via LeMat-Bulk. Energies are from PBE.

Lattice parameters (Å, degrees): 8.483 8.483 9.285 117.18 117.18 90.00
Fractional coordinates of all 18 atoms:
Tm 0.843 0.923 0.266
Tm 0.000 0.000 0.000
Tm 0.077 0.577 0.734
Tm 0.657 0.157 0.734
Tm 0.923 0.423 0.266
Tm 0.577 0.657 0.734
Tm 0.423 0.343 0.266
Tm 0.343 0.843 0.266
Tm 0.500 0.500 0.000
Tm 0.157 0.077 0.734
In 0.611 0.111 0.000
In 0.111 0.389 0.000
In 0.889 0.611 0.000
In 0.389 0.889 0.000
Dy 0.750 0.250 0.500
Dy 0.250 0.750 0.500
Pb 0.750 0.750 0.500
Pb 0.250 0.250 0.500

Total DFT energy (no corrections) in eV/atom: -4.058
Magnetic moment in Bohr magnetons per cell: 0.01

# 4
Here is a relaxed NbAgS2 crystal from Alexandria via LeMat-Bulk. Energies are from PBE.

Lattice parameters (Å, degrees): 4.551 4.551 4.551 60.00 60.00 60.00
Each line ends with the local moment (μB).
Fractional coordinates of all 4 atoms:
S 0.750 0.750 0.750  -0.02
S 0.250 0.250 0.250  -0.02
Ag 0.500 0.500 0.500  0.10
Nb 0.000 0.000 0.000  1.57

Total DFT energy (no corrections) in eV/atom: -5.431
Magnetic moment in Bohr magnetons per cell: 2.00

# 5
Here is a relaxed KAl3Ag crystal from Alexandria via LeMat-Bulk. Energies are from PBE.

Lattice parameters (Å, degrees): 5.729 5.729 5.729 90.00 90.00 90.00
Fractional coordinates of all 5 atoms:
Al 0.000 0.500 0.000
Al 0.000 0.000 0.500
Al 0.500 0.000 0.000
Ag 0.500 0.500 0.500
K 0.000 0.000 0.000

Excess energy over the best structure of this formula in the dataset in meV/atom: 1219
Magnetic moment in Bohr magnetons per cell: 0.00

# 6
Here is a relaxed FeIrBr2 crystal from Alexandria via LeMat-Bulk. Energies are from PBE.

Lattice parameters (Å, degrees): 4.207 3.352 5.517 95.36 90.00 90.00
Each line ends with the local moment (μB).
Fractional coordinates of all 4 atoms:
Br 0.000 0.509 0.501  0.03
Br 0.000 0.991 0.999  0.03
Ir 0.500 0.750 0.750  0.02
Fe 0.500 0.250 0.250  3.08

Excess energy over the best structure of this formula in the dataset in meV/atom: 747
Magnetic moment in Bohr magnetons per cell: 3.21

# 7
Here is a relaxed Ba2HRh crystal from Alexandria via LeMat-Bulk. Energies are from PBE.

Lattice parameters (Å, degrees): 6.198 6.198 8.292 68.06 68.06 90.00
Fractional coordinates of all 8 atoms:
H 0.500 0.500 0.000
H 0.250 0.750 0.500
Ba 0.597 0.125 0.250
Ba 0.153 0.625 0.250
Ba 0.375 0.403 0.750
Ba 0.875 0.847 0.750
Rh 0.750 0.250 0.500
Rh 0.000 0.000 0.000

Excess energy over the best structure of this formula in the dataset in meV/atom: 220
Magnetic moment in Bohr magnetons per cell: 0.00

# 8
Here is a relaxed Ta7Mo crystal from Alexandria via LeMat-Bulk. Energies are from PBE.

Lattice parameters (Å, degrees): 8.108 8.108 8.108 33.37 33.37 33.37
Fractional coordinates of all 8 atoms:
Ta 0.628 0.628 0.628
Ta 0.500 0.500 0.500
Ta 0.878 0.878 0.878
Ta 0.122 0.122 0.122
Ta 0.247 0.247 0.247
Ta 0.372 0.372 0.372
Ta 0.753 0.753 0.753
Mo 0.000 0.000 0.000

Excess energy over the best structure of this formula in the dataset in meV/atom: 15
Magnetic moment in Bohr magnetons per cell: 0.00